(1)
Compound: GdTmAlCu
Source: Alexandria
Functional: PBE-GGA
Structure: optimized geometry

Unit cell a=5.030 b=5.030 c=5.030 alpha=60.00 beta=60.00 gamma=60.00
Each line ends with the local moment (μB).
Fractional positions:
Cu (0.250, 0.250, 0.250)  0.04
Tm (0.500, 0.500, 0.500)  0.11
Gd (0.000, 0.000, 0.000)  7.10
Al (0.750, 0.750, 0.750)  -0.01

Output
- Total magnetization: 7.5 μB per cell
- Final energy: -6.885 eV per atom
- Calculated formation energy: -0.29 eV/atom
- Density of states at the Fermi level: 3.16 states/eV/cell

=====

(2)
Compound: NiPbAu2
Source: Alexandria
Functional: PBE-GGA
Structure: optimized geometry

Unit cell a=4.932 b=4.932 c=5.591 alpha=58.37 beta=58.37 gamma=45.25
Fractional positions:
Au (0.204, 0.204, 0.380)
Ni (0.516, 0.516, 0.339)
Pb (0.796, 0.796, 0.744)
Au (0.985, 0.985, 0.037)

Output
- Total magnetization: 0.0 μB per cell
- Final energy: -3.874 eV per atom
- Calculated formation energy: 0.14 eV/atom
- Density of states at the Fermi level: 2.45 states/eV/cell

=====

(3)
Compound: Tb6Tm7
Source: Alexandria
Functional: PBE-GGA
Structure: optimized geometry

Unit cell a=6.491 b=6.491 c=12.167 alpha=74.53 beta=74.53 gamma=60.00
Each line ends with the local moment (μB).
Fractional positions:
Tm (0.588, 0.588, 0.738)  0.28
Tb (0.851, 0.851, 0.447)  0.51
Tb (0.047, 0.047, 0.860)  0.42
Tm (0.500, 0.500, 0.500)  0.40
Tb (0.953, 0.953, 0.140)  0.42
Tb (0.667, 0.667, 0.000)  0.48
Tm (0.412, 0.915, 0.262)  0.28
Tb (0.149, 0.149, 0.553)  0.51
Tm (0.915, 0.412, 0.262)  0.28
Tb (0.333, 0.333, 0.000)  0.48
Tm (0.085, 0.588, 0.738)  0.28
Tm (0.588, 0.085, 0.738)  0.28
Tm (0.412, 0.412, 0.262)  0.28

Output
- Total magnetization: 7.2 μB per cell
- Final energy: -4.276 eV per atom
- Calculated formation energy: 0.27 eV/atom
- Density of states at the Fermi level: 30.84 states/eV/cell

=====

(4)
Compound: LiSmCd11
Source: Alexandria
Functional: PBE-GGA
Structure: optimized geometry

Unit cell a=5.868 b=7.597 c=7.589 alpha=81.60 beta=67.26 gamma=67.80
Fractional positions:
Cd (0.000, 0.500, 0.000)
Cd (0.000, 0.000, 0.500)
Cd (0.508, 0.218, 0.791)
Li (0.500, 0.500, 0.000)
Cd (0.701, 0.782, 0.791)
Cd (0.500, 0.000, 0.500)
Cd (0.358, 0.646, 0.657)
Cd (0.015, 0.646, 0.343)
Sm (0.000, 0.000, 0.000)
Cd (0.985, 0.354, 0.657)
Cd (0.299, 0.218, 0.209)
Cd (0.642, 0.354, 0.343)
Cd (0.492, 0.782, 0.209)

Output
- Total magnetization: 0.0 μB per cell
- Final energy: -1.437 eV per atom
- Calculated formation energy: -0.15 eV/atom
- Density of states at the Fermi level: 5.30 states/eV/cell